(1)
## Li2CdIrN (PBE-GGA)

Data for crystalline Li2CdIrN at its relaxed geometry.

Results
The total energy is -0.1712 hartree per atom.

Lattice parameters (Å, degrees): 4.2663 4.2663 3.7775 90.00 90.00 90.00
Element x y z (fractional)
Ir: 0.5000 0.5000 0.5000
Li: 0.5000 0.0000 0.0000
Li: 0.0000 0.5000 0.0000
N: 0.5000 0.5000 0.0000
Cd: 0.0000 0.0000 0.5000



(2)
## Sc4Cu2CN (PBE-GGA)

Data for crystalline Sc4Cu2CN at its relaxed geometry.

Results
The total energy is -0.2527 hartree per atom.

Lattice parameters (Å, degrees): 3.2762 3.2762 13.3010 90.00 90.00 120.00
Element x y z (fractional)
Cu: 0.6667 0.3333 0.2544
Cu: 0.3333 0.6667 0.7456
Sc: 0.6667 0.3333 0.9065
Sc: 0.3333 0.6667 0.0935
Sc: 0.6667 0.3333 0.5921
Sc: 0.3333 0.6667 0.4079
C: 0.0000 0.0000 0.0000
N: 0.0000 0.0000 0.5000



(3)
## K3Zr4 (PBE-GGA)

Data for crystalline K3Zr4 at its relaxed geometry.

Results
The total energy is -0.1586 hartree per atom.

Lattice parameters (Å, degrees): 9.6915 9.6902 5.7033 90.00 90.00 59.98
Element x y z (fractional)
K: 0.6698 0.6667 0.5000
K: 0.2381 0.8063 0.5000
K: 0.3778 0.0984 0.5000
K: 0.1460 0.2825 0.0000
K: 0.8540 0.7143 0.0000
K: 0.2857 0.5746 0.0000
Zr: 0.7064 0.3876 0.0000
Zr: 0.9036 0.2460 0.5000
Zr: 0.6203 0.1350 0.0000
Zr: 0.9590 0.0489 0.0000
Zr: 0.8175 0.9932 0.5000
Zr: 0.4285 0.8571 0.0000
Zr: 0.0952 0.5238 0.5000
Zr: 0.5647 0.3321 0.5000